1.
The following is a DFT calculation (PBE) of Ce3Y2Os2 after structural relaxation.

```
7
Lattice="-2.936 -1.950 -1.791 2.150 -2.536 -5.125 1.688 -8.018 1.599" Properties=species:S:1:pos:R:3 pbc="T T T"
Ce -1.468 -0.975 -0.896
Ce 1.317 -6.250 -4.079
Ce -0.415 -6.253 -1.238
Y 0.893 -3.065 -2.489
Y 0.009 -9.439 -2.828
Os 2.754 -8.749 -3.715
Os -1.852 -3.755 -1.602
```

- raw total energy (eV per atom) = -7.77
- energy of formation (eV per atom) = -0.17

2.
The following is a DFT calculation (PBE) of CeY2Os after structural relaxation.

```
16
Lattice="6.404 0.000 0.000 0.000 7.242 0.000 0.000 0.000 9.481" Properties=species:S:1:pos:R:3 pbc="T T T"
Ce 4.164 4.000 2.370
Ce 5.442 0.380 2.370
Ce 2.240 3.241 7.110
Ce 0.962 6.862 7.110
Y 1.098 4.854 0.618
Y 2.104 1.233 4.123
Y 5.306 2.388 5.358
Y 4.300 6.009 8.863
Y 5.306 2.388 8.863
Y 4.300 6.009 5.358
Y 1.098 4.854 4.123
Y 2.104 1.233 0.618
Os 0.126 2.670 2.370
Os 3.076 6.291 2.370
Os 6.278 4.571 7.110
Os 3.328 0.951 7.110
```

- polymorph energy (0 for the lowest one) (kJ per mole of atoms) = 0.0
- raw total energy (eV per atom) = -7.75
- energy of formation (eV per atom) = -0.23

3.
The following is a DFT calculation (PBE) of Ce6YOs4 after structural relaxation.

```
11
Lattice="-0.385 -4.945 -5.434 6.213 3.758 1.188 0.094 -2.182 7.026" Properties=species:S:1:pos:R:3 pbc="T T T"
Ce 5.503 2.122 4.830
Ce 3.431 0.111 6.806
Ce 0.517 -3.077 -2.589
Ce -0.146 -3.563 0.796
Ce 2.776 -0.948 1.946
Ce 2.914 -0.593 -2.123
Y 0.000 0.000 0.000
Os 1.514 -0.497 4.711
Os 2.094 -2.401 -0.247
Os 3.942 1.860 2.394
Os 4.677 -0.755 4.133
```

- raw total energy (eV per atom) = -7.98
- energy of formation (eV per atom) = -0.07

4.
The following is a DFT calculation (PBE) of CeY3Os8 after structural relaxation.

```
12
Lattice="-4.001 0.843 -3.485 -4.662 -2.605 0.581 -5.910 5.949 4.083" Properties=species:S:1:pos:R:3 pbc="T T T"
Ce -9.799 0.695 -1.005
Y -8.419 4.541 2.481
Y -5.910 5.948 4.082
Y -7.286 2.093 0.589
Os -6.894 0.756 -2.259
Os -10.187 2.024 1.844
Os -4.890 0.333 -0.513
Os -12.199 2.448 0.091
Os -4.210 2.271 1.241
Os -11.495 4.362 1.828
Os -7.226 -0.971 -0.222
Os -9.854 3.758 -0.201
```

- raw total energy (eV per atom) = -9.85
- energy of formation (eV per atom) = -0.25

5.
The following is a DFT calculation (PBE) of Ce2YOs after structural relaxation.

```
4
Lattice="-0.660 0.606 3.579 3.526 -0.757 0.779 1.763 7.281 -0.907" Properties=species:S:1:pos:R:3 pbc="T T T"
Y 2.315 3.565 1.726
Os 1.433 -0.076 2.179
Ce 1.426 5.889 -0.733
Ce 0.337 1.392 -0.173
```

- polymorph energy (0 for the lowest one) (kJ per mole of atoms) = 17.6
- raw total energy (eV per atom) = -7.36
- energy of formation (eV per atom) = 0.03

6.
The following is a DFT calculation (PBE) of Ce4YOs4 after structural relaxation.

```
18
Lattice="6.991 0.000 0.000 0.000 6.991 0.000 0.000 0.000 8.959" Properties=species:S:1:pos:R:3 pbc="T T T"
Ce 1.719 3.495 7.708
Ce 5.272 3.495 7.708
Ce 3.495 5.272 1.251
Ce 3.495 1.719 1.251
Ce 0.000 5.215 3.228
Ce 0.000 1.776 3.228
Ce 1.776 0.000 5.730
Ce 5.215 0.000 5.730
Y 0.000 0.000 0.000
Y 3.495 3.495 4.479
Os 3.495 5.630 7.481
Os 3.495 1.361 7.481
Os 5.630 3.495 1.478
Os 1.361 3.495 1.478
Os 2.134 0.000 3.002
Os 4.856 0.000 3.002
Os 0.000 2.134 5.957
Os 0.000 4.856 5.957
```

- raw total energy (eV per atom) = -8.28
- energy of formation (eV per atom) = 0.07

no.,Fermi-level density of states (states/eV/f.u.)
1,13.26
2,6.74
3,17.53
4,12.39
5,9.74
6,8.70